Na7Hg3: optimized geometry, GGA-PBE.

The structure in POSCAR format:
```
Na7Hg3
1.0
8.491 -2.604 0.000
8.491 2.604 0.000
-1.911 0.000 6.520
Na Hg
7 3
Direct
0.000 0.000 0.000
0.202 0.202 0.665
0.376 0.376 0.119
0.408 0.408 0.640
0.592 0.592 0.360
0.624 0.624 0.881
0.798 0.798 0.335
0.000 0.000 0.500
0.190 0.190 0.177
0.810 0.810 0.823
```

Calculated values
- Formation enthalpy at 0 K: -0.165 eV per atom
- Size of the total moment: 0.0 μB/f.u.
- Final energy: -11.793 eV/f.u.
- SG: C2/m


Na5Hg4: optimized geometry, GGA-PBE.

The structure in POSCAR format:
```
Na5Hg4
1.0
4.624 -2.632 0.000
4.624 2.632 0.000
-2.953 0.000 10.556
Na Hg
5 4
Direct
0.000 0.000 0.000
0.135 0.135 0.422
0.264 0.264 0.779
0.736 0.736 0.221
0.865 0.865 0.578
0.357 0.357 0.078
0.443 0.443 0.361
0.557 0.557 0.639
0.643 0.643 0.922
```

Calculated values
- Formation enthalpy at 0 K: -0.200 eV per atom
- Size of the total moment: 0.0 μB/f.u.
- Final energy: -9.601 eV/f.u.
- SG: C2/m


NaHg3: optimized geometry, GGA-PBE.

The structure in POSCAR format:
```
NaHg3
1.0
6.721 0.000 0.000
-3.360 5.820 0.000
0.000 0.000 5.259
Na Hg
2 6
Direct
0.333 0.667 0.250
0.667 0.333 0.750
0.167 0.334 0.750
0.167 0.833 0.750
0.334 0.167 0.250
0.666 0.833 0.750
0.833 0.167 0.250
0.833 0.666 0.250
```

Calculated values
- Formation enthalpy at 0 K: -0.189 eV per atom
- Size of the total moment: 0.0 μB/f.u.
- Final energy: -2.982 eV/f.u.
- SG: P6_3/mmc


NaHg12: optimized geometry, GGA-PBE.

The structure in POSCAR format:
```
NaHg12
1.0
-4.464 4.464 4.464
4.464 -4.464 4.464
4.464 4.464 -4.464
Na Hg
1 12
Direct
0.000 0.000 0.000
0.140 0.821 0.319
0.179 0.319 0.498
0.179 0.681 0.860
0.319 0.140 0.821
0.319 0.498 0.179
0.498 0.179 0.319
0.502 0.821 0.681
0.681 0.502 0.821
0.681 0.860 0.179
0.821 0.319 0.140
0.821 0.681 0.502
0.860 0.179 0.681
```

Calculated values
- Formation enthalpy at 0 K: -0.064 eV per atom
- Size of the total moment: 0.0 μB/f.u.
- Final energy: -5.772 eV/f.u.
- SG: Im-3


NaHg8: optimized geometry, GGA-PBE.

The structure in POSCAR format:
```
NaHg8
1.0
-5.038 5.038 2.408
5.038 -5.038 2.408
5.038 5.038 -2.408
Na Hg
1 8
Direct
0.000 0.000 0.000
0.000 0.332 0.332
0.000 0.668 0.668
0.332 0.000 0.332
0.335 0.335 0.670
0.335 0.665 0.000
0.665 0.335 0.000
0.665 0.665 0.330
0.668 0.000 0.668
```

Calculated values
- Formation enthalpy at 0 K: -0.085 eV per atom
- Size of the total moment: 0.0 μB/f.u.
- Final energy: -4.502 eV/f.u.
- SG: I4/mmm


NaHg7: optimized geometry, GGA-PBE.

The structure in POSCAR format:
```
NaHg7
1.0
0.000 4.748 4.748
4.748 0.000 4.748
4.748 4.748 0.000
Na Hg
1 7
Direct
0.000 0.000 0.000
0.000 0.000 0.500
0.000 0.500 0.000
0.000 0.500 0.500
0.500 0.000 0.000
0.500 0.000 0.500
0.500 0.500 0.000
0.500 0.500 0.500
```

Calculated values
- Formation enthalpy at 0 K: -0.089 eV per atom
- Size of the total moment: 0.0 μB/f.u.
- Final energy: -4.146 eV/f.u.
- SG: Fm-3m


Na6Hg23: optimized geometry, GGA-PBE.

The structure in POSCAR format:
```
Na6Hg23
1.0
0.000 7.357 7.357
7.357 0.000 7.357
7.357 7.357 0.000
Na Hg
6 23
Direct
0.238 0.238 0.762
0.238 0.762 0.238
0.238 0.762 0.762
0.762 0.238 0.238
0.762 0.238 0.762
0.762 0.762 0.238
0.000 0.000 0.000
0.000 0.000 0.500
0.000 0.500 0.000
0.000 0.500 0.500
0.134 0.134 0.134
0.134 0.134 0.598
0.134 0.598 0.134
0.150 0.617 0.617
0.383 0.383 0.383
0.383 0.383 0.850
0.383 0.850 0.383
0.402 0.866 0.866
0.500 0.000 0.000
0.500 0.000 0.500
0.500 0.500 0.000
0.598 0.134 0.134
0.617 0.150 0.617
0.617 0.617 0.150
0.617 0.617 0.617
0.850 0.383 0.383
0.866 0.402 0.866
0.866 0.866 0.402
0.866 0.866 0.866
```

Calculated values
- Formation enthalpy at 0 K: -0.138 eV per atom
- Size of the total moment: 0.0 μB/f.u.
- Final energy: -18.861 eV/f.u.
- SG: Fm-3m


NaHg12: optimized geometry, GGA-PBE.

The structure in POSCAR format:
```
NaHg12
1.0
0.000 6.488 6.488
6.488 0.000 6.488
6.488 6.488 0.000
Na Hg
1 12
Direct
0.000 0.000 0.000
0.161 0.500 0.500
0.161 0.500 0.839
0.161 0.839 0.500
0.500 0.161 0.500
0.500 0.161 0.839
0.500 0.500 0.161
0.500 0.500 0.839
0.500 0.839 0.161
0.500 0.839 0.500
0.839 0.161 0.500
0.839 0.500 0.161
0.839 0.500 0.500
```

Calculated values
- Formation enthalpy at 0 K: 0.114 eV per atom
- Size of the total moment: 0.0 μB/f.u.
- Final energy: -3.453 eV/f.u.
- SG: Fm-3m


Na8Hg3: optimized geometry, GGA-PBE.

The structure in POSCAR format:
```
Na8Hg3
1.0
5.007 2.891 4.335
-5.007 2.891 4.335
0.000 -5.782 4.335
Na Hg
8 3
Direct
0.126 0.126 0.126
0.183 0.631 0.347
0.347 0.183 0.631
0.369 0.653 0.817
0.631 0.347 0.183
0.653 0.817 0.369
0.817 0.369 0.653
0.874 0.874 0.874
0.000 0.000 0.500
0.000 0.500 0.000
0.500 0.000 0.000
```

Calculated values
- Formation enthalpy at 0 K: -0.075 eV per atom
- Size of the total moment: 0.0 μB/f.u.
- Final energy: -12.285 eV/f.u.
- SG: R-3


Na6Hg: optimized geometry, GGA-PBE.

The structure in POSCAR format:
```
Na6Hg
1.0
2.810 1.623 8.179
-2.810 1.623 8.179
0.000 -3.245 8.179
Na Hg
6 1
Direct
0.074 0.074 0.074
0.209 0.209 0.209
0.365 0.365 0.365
0.635 0.635 0.635
0.791 0.791 0.791
0.926 0.926 0.926
0.500 0.500 0.500
```

Calculated values
- Formation enthalpy at 0 K: -0.070 eV per atom
- Size of the total moment: 0.0 μB/f.u.
- Final energy: -8.705 eV/f.u.
- SG: R-3m


NaHg3: optimized geometry, GGA-PBE.

The structure in POSCAR format:
```
NaHg3
1.0
-2.440 2.440 4.321
2.440 -2.440 4.321
2.440 2.440 -4.321
Na Hg
1 3
Direct
0.000 0.000 0.000
0.250 0.750 0.500
0.500 0.500 0.000
0.750 0.250 0.500
```

Calculated values
- Formation enthalpy at 0 K: -0.198 eV per atom
- Size of the total moment: 0.0 μB/f.u.
- Final energy: -3.015 eV/f.u.
- SG: I4/mmm


Na23Hg6: optimized geometry, GGA-PBE.

The structure in POSCAR format:
```
Na23Hg6
1.0
0.000 7.880 7.880
7.880 0.000 7.880
7.880 7.880 0.000
Na Hg
23 6
Direct
0.000 0.000 0.000
0.000 0.000 0.346
0.000 0.000 0.654
0.000 0.346 0.000
0.000 0.346 0.654
0.000 0.654 0.000
0.000 0.654 0.346
0.150 0.617 0.617
0.250 0.250 0.250
0.346 0.000 0.000
0.346 0.000 0.654
0.346 0.654 0.000
0.383 0.383 0.383
0.383 0.383 0.850
0.383 0.850 0.383
0.617 0.150 0.617
0.617 0.617 0.150
0.617 0.617 0.617
0.654 0.000 0.000
0.654 0.000 0.346
0.654 0.346 0.000
0.750 0.750 0.750
0.850 0.383 0.383
0.266 0.266 0.734
0.266 0.734 0.266
0.266 0.734 0.734
0.734 0.266 0.266
0.734 0.266 0.734
0.734 0.734 0.266
```

Calculated values
- Formation enthalpy at 0 K: -0.110 eV per atom
- Size of the total moment: 0.0 μB/f.u.
- Final energy: -35.343 eV/f.u.
- SG: Fm-3m